1.
DFT (PBE) results for a relaxed CsPS3 crystal.

The calculation puts the energy relative to the elements, uncorrected at 9.04 eV per formula unit. The calculated volume comes out at 189.6 Å³/cell. Its density of states at the Fermi level is 6.90 states/eV/cell.

The space group is Pm-3m (No. 221) and the conventional cell measures 5.744, 5.744 and 5.744 Å, with angles of 90.00, 90.00 and 90.00 degrees. Symmetry generates all atoms from Cs at (0.000, 0.000, 0.000), P at (0.500, 0.500, 0.500) and S at (0.000, 0.000, 0.500).


2.
DFT (PBE) results for a relaxed CsPS crystal.

The calculation puts the energy relative to the elements, uncorrected at -2.05 eV per formula unit. The calculated volume comes out at 205.6 Å³/cell. Its density of states at the Fermi level is 0.37 states/eV/cell.

The space group is P-1 (No. 2) and the conventional cell measures 4.566, 5.480 and 8.662 Å, with angles of 71.61, 89.24 and 90.00 degrees. Symmetry generates all atoms from Cs at (0.243, 0.362, 0.278), P at (0.251, 0.017, 0.966) and S at (0.258, 0.141, 0.714).


3.
DFT (PBE) results for a relaxed CsP6S12 crystal.

The calculation puts the energy relative to the elements, uncorrected at 2.56 eV per formula unit. The calculated volume comes out at 1745.1 Å³/cell. Its density of states at the Fermi level is 17.55 states/eV/cell.

The space group is R-3m (No. 166, hexagonal axes) and the conventional cell measures 11.9556, 11.9556 and 14.0978 Å, with angles of 90.00, 90.00 and 120.00 degrees. Symmetry generates all atoms from Cs at (0.0000, 0.0000, 0.0000), P at (0.1099, 0.5550, 0.4211), S at (0.0000, 0.3754, 0.5000) and S at (0.0922, 0.1844, 0.2823).